This record from Alexandria via LeMat-Bulk describes a relaxed Sc2VGe2 crystal. The functional is PBE.

Summary:
- Symmetry: Ibam
- N(E_F): 0.7100 states/eV/atom
- Calculated formation energy: -0.479 eV/atom

a = 6.949 Å, b = 6.949 Å, c = 6.949 Å
α = 122.86°, β = 76.59°, γ = 133.57°
Element x y z (fractional)
Sc (0.156, 0.177, 0.332)
Sc (0.344, 0.677, 0.021)
Sc (0.656, 0.323, 0.979)
Sc (0.844, 0.823, 0.668)
V (0.250, 0.750, 0.500)
V (0.750, 0.250, 0.500)
Ge (0.100, 0.767, 0.868)
Ge (0.400, 0.267, 0.667)
Ge (0.600, 0.733, 0.333)
Ge (0.900, 0.233, 0.132)

---

This record from Alexandria via LeMat-Bulk describes a relaxed Be2NbFe2 crystal. The functional is PBE.

Summary:
- Symmetry: I4/mmm
- N(E_F): 0.6519 states/eV/atom
- Calculated formation energy: 0.044 eV/atom

a = 10.947 Å, b = 10.947 Å, c = 10.947 Å
α = 162.72°, β = 162.72°, γ = 24.54°
Element x y z (fractional)
Be (0.071, 0.071, 0.000)
Be (0.250, 0.750, 0.500)
Be (0.750, 0.250, 0.500)
Be (0.929, 0.929, 0.000)
Nb (0.381, 0.381, 0.000)
Nb (0.619, 0.619, 0.000)
Fe (0.000, 0.500, 0.500)
Fe (0.173, 0.173, 0.000)
Fe (0.500, 0.000, 0.500)
Fe (0.827, 0.827, 0.000)

---

This record from Alexandria via LeMat-Bulk describes a relaxed TlTcBi2 crystal. The functional is PBE.

Summary:
- Symmetry: R-3m
- N(E_F): 1.0427 states/eV/atom
- Calculated formation energy: 0.758 eV/atom

a = 12.134 Å, b = 12.134 Å, c = 12.134 Å
α = 15.47°, β = 15.47°, γ = 15.47°
Element x y z (fractional)
Tl (0.000, 0.000, 0.000)
Tc (0.500, 0.500, 0.500)
Bi (0.423, 0.423, 0.423)
Bi (0.577, 0.577, 0.577)

---

| no. | distance to the lowest polymorph of the same formula (meV per atom) |
| --- | --- |
| 1 | 142 |
| 2 | 138 |
| 3 | 107 |